# Pu2B6Os

An optimized crystal structure of Pu2B6Os (PBE, OQMD via LeMat-Bulk).

Values from the calculation:
symmetry = Pbam, No. 55
volume = 383 Å³/cell
total energy = -9.377 eV/atom
total moment = 8.999 μB per formula unit

Unit cell a=9.3752 b=11.4418 c=3.5703 alpha=90.00 beta=90.00 gamma=90.00
Fractional positions:
Pu 0.0443 0.1072 0.0000
Pu 0.1636 0.4068 0.0000
Pu 0.3364 0.9068 0.0000
Pu 0.4557 0.6072 0.0000
Pu 0.5443 0.3928 0.0000
Pu 0.6636 0.0932 0.0000
Pu 0.8364 0.5932 0.0000
Pu 0.9557 0.8928 0.0000
B 0.0106 0.2814 0.5000
B 0.0520 0.5686 0.5000
B 0.1448 0.9591 0.5000
B 0.1460 0.8109 0.5000
B 0.1970 0.2253 0.5000
B 0.2433 0.5759 0.5000
B 0.2567 0.0759 0.5000
B 0.3030 0.7253 0.5000
B 0.3540 0.3109 0.5000
B 0.3552 0.4591 0.5000
B 0.4480 0.0686 0.5000
B 0.4894 0.7814 0.5000
B 0.5106 0.2186 0.5000
B 0.5520 0.9314 0.5000
B 0.6448 0.5409 0.5000
B 0.6460 0.6891 0.5000
B 0.6970 0.2747 0.5000
B 0.7433 0.9241 0.5000
B 0.7567 0.4241 0.5000
B 0.8030 0.7747 0.5000
B 0.8540 0.1891 0.5000
B 0.8552 0.0409 0.5000
B 0.9480 0.4314 0.5000
B 0.9894 0.7186 0.5000
Os 0.1455 0.6793 0.0000
Os 0.3545 0.1793 0.0000
Os 0.6455 0.8207 0.0000
Os 0.8545 0.3207 0.0000